## UGaOs (GGA-PBE)

Data for a relaxed UGaOs crystal.

Cell: 4.539 4.539 4.539 Å, 60.00 60.00 60.00°
Fractional positions:
Ga1 0.250 0.250 0.250
Os1 0.750 0.750 0.750
U1 0.000 0.000 0.000

Calculated total energy ... -23.33 eV per cell
Magnetization ... 0.295 μB/atom
Symmetry ... F-43m